[1]
The following is a DFT calculation (PBE-GGA) of a relaxed PmCd6Au6 crystal. Values from VASP.

Cell and atoms, written as Quantum ESPRESSO input:
```
&SYSTEM
  ibrav = 0, nat = 13, ntyp = 3
/
ATOMIC_SPECIES
Pm 145.00 Pm.upf
Cd 112.41 Cd.upf
Au 196.97 Au.upf
CELL_PARAMETERS angstrom
-2.777 4.932 4.981
2.777 -4.932 4.981
2.777 4.932 -4.981
ATOMIC_POSITIONS crystal
Pm 0.000 0.000 0.000
Cd 0.208 0.708 0.500
Cd 0.347 0.000 0.347
Cd 0.352 0.352 0.000
Cd 0.648 0.648 0.000
Cd 0.653 0.000 0.653
Cd 0.792 0.292 0.500
Au 0.000 0.000 0.500
Au 0.000 0.500 0.000
Au 0.201 0.500 0.701
Au 0.500 0.000 0.000
Au 0.500 0.500 0.500
Au 0.799 0.500 0.299
```

Values from the calculation:
* magnetization: 0.00 μB/f.u.
* crystal system: orthorhombic
* energy relative to the lowest polymorph listed for this composition: 0.0000 eV per atom
* energy relative to the elements: -3.27 eV per formula unit


[2]
The following is a DFT calculation (PBE-GGA) of a relaxed PtRh2 crystal. Values from VASP.

Cell and atoms, written as Quantum ESPRESSO input:
```
&SYSTEM
  ibrav = 0, nat = 6, ntyp = 2
/
ATOMIC_SPECIES
Pt 195.08 Pt.upf
Rh 102.91 Rh.upf
CELL_PARAMETERS angstrom
5.101 -1.373 0.000
5.101 1.373 0.000
-1.780 0.000 6.316
ATOMIC_POSITIONS crystal
Pt 0.000 0.000 0.000
Pt 0.668 0.668 0.340
Rh 0.054 0.054 0.615
Rh 0.334 0.334 0.670
Rh 0.389 0.389 0.282
Rh 0.725 0.725 0.944
```

Values from the calculation:
* magnetization: 0.00 μB/f.u.
* crystal system: monoclinic
* energy relative to the lowest polymorph listed for this composition: 0.0729 eV per atom
* energy relative to the elements: 0.14 eV per formula unit


[3]
The following is a DFT calculation (PBE-GGA) of a relaxed AcNd2TmBi4 crystal. Values from VASP.

Cell and atoms, written as Quantum ESPRESSO input:
```
&SYSTEM
  ibrav = 0, nat = 8, ntyp = 4
/
ATOMIC_SPECIES
Ac 227.00 Ac.upf
Nd 144.24 Nd.upf
Tm 168.93 Tm.upf
Bi 208.98 Bi.upf
CELL_PARAMETERS angstrom
8.028 0.000 0.000
0.000 4.646 0.000
-2.675 0.000 7.588
ATOMIC_POSITIONS crystal
Ac 0.000 0.000 0.000
Nd 0.000 0.500 0.500
Nd 0.500 0.000 0.500
Tm 0.500 0.500 0.000
Bi 0.263 0.000 0.753
Bi 0.264 0.500 0.256
Bi 0.736 0.500 0.744
Bi 0.737 0.000 0.247
```

Values from the calculation:
* magnetization: 0.00 μB/f.u.
* crystal system: monoclinic
* energy relative to the elements: -7.11 eV per formula unit


[4]
The following is a DFT calculation (PBE-GGA) of a relaxed ScCo4Ge4 crystal. Values from VASP.

Cell and atoms, written as Quantum ESPRESSO input:
```
&SYSTEM
  ibrav = 0, nat = 18, ntyp = 3
/
ATOMIC_SPECIES
Sc 44.96 Sc.upf
Co 58.93 Co.upf
Ge 72.64 Ge.upf
CELL_PARAMETERS angstrom
5.719 0.000 0.000
0.000 5.719 0.000
0.000 0.000 7.880
ATOMIC_POSITIONS crystal
Sc 0.250 0.750 0.250
Sc 0.750 0.250 0.750
Co 0.025 0.250 0.146
Co 0.250 0.025 0.646
Co 0.250 0.475 0.646
Co 0.475 0.250 0.146
Co 0.525 0.750 0.854
Co 0.750 0.525 0.354
Co 0.750 0.975 0.354
Co 0.975 0.750 0.854
Ge 0.030 0.250 0.442
Ge 0.250 0.030 0.942
Ge 0.250 0.470 0.942
Ge 0.470 0.250 0.442
Ge 0.530 0.750 0.558
Ge 0.750 0.530 0.058
Ge 0.750 0.970 0.058
Ge 0.970 0.750 0.558
```

Values from the calculation:
* magnetization: 0.00 μB/f.u.
* crystal system: tetragonal
* energy relative to the elements: -2.09 eV per formula unit